#i
## ZrTaRe (PBE)

Data for a geometry-optimized ZrTaRe structure. Values from VASP.

Quantum ESPRESSO input file:
```
&SYSTEM
  ibrav = 0, nat = 3, ntyp = 3
/
ATOMIC_SPECIES
Zr 91.22 Zr.upf
Ta 180.95 Ta.upf
Re 186.21 Re.upf
CELL_PARAMETERS angstrom
-1.6293 1.6293 5.1503
1.6293 -1.6293 5.1503
1.6293 1.6293 -5.1503
ATOMIC_POSITIONS crystal
Zr 0.0000 0.0000 0.0000
Ta 0.3113 0.3113 0.0000
Re 0.6694 0.6694 0.0000
```

Values from the calculation:
Space group   I4mm, No. 107

---

#ii
## ZrTaRe (PBE)

Data for a geometry-optimized ZrTaRe structure. Values from VASP.

Quantum ESPRESSO input file:
```
&SYSTEM
  ibrav = 0, nat = 3, ntyp = 3
/
ATOMIC_SPECIES
Zr 91.22 Zr.upf
Ta 180.95 Ta.upf
Re 186.21 Re.upf
CELL_PARAMETERS angstrom
3.1209 0.0000 0.0000
-1.5604 2.7027 0.0000
0.0000 0.0000 6.6777
ATOMIC_POSITIONS crystal
Zr 0.0000 0.0000 0.0000
Ta 0.3333 0.6667 0.6288
Re 0.6667 0.3333 0.3345
```

Values from the calculation:
Space group   P3m1, No. 156

---

Which of them is least stable? Easy: #ii.